## Ba2AlHg (PBE)

Data for a geometry-optimized Ba2AlHg structure.

abc: 4.148 4.148 8.510
angles: 90.00 90.00 90.00
Sites, in units of the cell vectors:
Ba  0.000  0.000  0.244
Ba  0.000  0.000  0.756
Al  0.500  0.500  0.000
Hg  0.500  0.500  0.500

Values from the calculation:
Formation energy from the elements   -284 meV/atom
Energy above the lowest structure with this stoichiometry   0 meV per atom
Total magnetization   0.000 μB per formula unit